## NpBr4 (PBE)

Data for an optimized crystal structure of NpBr4.

abc: 6.4546 6.4546 6.9550
angles: 90.00 90.00 90.00
Last column: magnetic moment on the atom in μB.
Atoms (fractional coordinates):
Br: 0.7523 0.1864 0.6560  -0.11
Br: 0.2477 0.8136 0.6560  -0.11
Br: 0.6864 0.2523 0.1560  -0.11
Br: 0.2523 0.3136 0.8440  -0.11
Br: 0.1864 0.2477 0.3440  -0.11
Br: 0.7477 0.6864 0.8440  -0.11
Br: 0.8136 0.7523 0.3440  -0.11
Br: 0.3136 0.7477 0.1560  -0.11
Np: 0.5000 0.5000 0.5000  3.45
Np: 0.0000 0.0000 0.0000  3.45

Computed properties:
For the uncorrected formation energy, the calculation gives -1.017 eV per atom. The spin magnetization comes out at 3.00 μB per formula unit. Its calculated volume is 29.0 Å³/atom.